MnZnCl2 (PBE-GGA, relaxed); raw formation energy = -0.58 eV/atom; density of states at the Fermi level = 0.1548 states/eV/atom; ΔE to the lowest computed polymorph = 0 meV/atom; final energy = -16.46 eV per formula unit; magnetization = 5.0 μB/cell
1.0
-6.6724 5.5266 5.8912
-7.8817 2.1535 6.5582
-5.0829 3.4969 8.4679
Zn Cl Mn
1 2 1
Cartesian
-14.7277 8.3827 15.6880 Zn
-10.5486 6.0041 11.2364 Cl
-18.9068 10.7614 20.1396 Cl
-4.9092 2.7942 5.2293 Mn

***

Mn2ZnCl (PBE-GGA, relaxed); raw formation energy = 0.09 eV/atom; density of states at the Fermi level = 0.4421 states/eV/atom; ΔE to the lowest computed polymorph = 99 meV/atom; final energy = -21.09 eV per formula unit; magnetization = 7.6 μB/cell
1.0
-7.3652 -0.0920 -4.1163
-5.9880 -2.5444 -5.3730
-7.4822 -2.8217 -2.6933
Cl Zn Mn
1 1 2
Cartesian
-15.3974 -4.0335 -9.0029 Cl
-10.5450 -2.7624 -6.1657 Zn
-0.0515 -0.0135 -0.0301 Mn
-5.2593 -1.3777 -3.0752 Mn

***

MnZn2Cl (PBE-GGA, relaxed); raw formation energy = 0.12 eV/atom; density of states at the Fermi level = 0.4025 states/eV/atom; ΔE to the lowest computed polymorph = 190 meV/atom; final energy = -13.10 eV per formula unit; magnetization = 3.9 μB/cell
1.0
-1.4531 2.4614 0.4838
-3.5659 -1.7970 -1.5680
-1.3736 -1.8392 5.2318
Zn Mn Cl
2 1 1
Cartesian
-2.5095 0.3322 -0.5421 Zn
0.0000 0.0000 0.0000 Zn
-2.4698 -1.8181 1.8319 Mn
-1.4133 0.3111 2.8578 Cl

***

MnZnCl6 (PBE-GGA, relaxed); raw formation energy = -0.81 eV/atom; ΔE to the lowest computed polymorph = 87 meV/atom; final energy = -28.00 eV per formula unit; magnetization = 2.9 μB/cell
1.0
-5.1280 -3.0254 1.2816
-1.1037 -1.8462 5.6976
-4.5833 3.0568 3.3589
Cl Zn Mn
6 1 1
Cartesian
-4.4973 -1.4851 3.1406 Cl
-6.3783 -2.9802 5.3582 Cl
-7.2867 -0.1605 4.0792 Cl
-3.5283 -1.6542 6.2589 Cl
-4.4367 1.1655 4.9798 Cl
-6.3177 -0.3296 7.1974 Cl
0.0000 0.0000 0.0000 Zn
-5.4075 -0.9074 5.1690 Mn

***

Mn2ZnCl (PBE-GGA, relaxed); raw formation energy = 0.17 eV/atom; density of states at the Fermi level = 0.5723 states/eV/atom; ΔE to the lowest computed polymorph = 180 meV/atom; final energy = -20.77 eV per formula unit; magnetization = 7.8 μB/cell
1.0
-1.3246 -2.5590 -0.8732
2.8161 0.4324 -0.9735
2.8592 -3.7358 6.6113
Zn Mn Cl
1 2 1
Cartesian
1.4606 -1.9972 0.7295 Zn
1.4331 -1.8725 3.3138 Mn
2.8557 -3.7313 6.6032 Mn
2.8902 -3.8652 4.0351 Cl

***

MnZnCl2 (PBE-GGA, relaxed); raw formation energy = -0.54 eV/atom; density of states at the Fermi level = 0.2218 states/eV/atom; ΔE to the lowest computed polymorph = 42 meV/atom; final energy = -16.29 eV per formula unit; magnetization = 4.9 μB/cell
1.0
3.4028 0.0000 0.0000
0.0000 5.4829 -0.0060
0.0000 2.0103 5.4125
Zn Cl Mn
1 2 1
Cartesian
1.7014 5.3136 4.2162 Zn
0.0000 7.2092 4.7132 Cl
1.7014 2.7167 1.4992 Cl
0.0000 3.4935 3.0876 Mn

***

MnZn2Cl (PBE-GGA, relaxed); raw formation energy = 0.08 eV/atom; density of states at the Fermi level = 0.3689 states/eV/atom; ΔE to the lowest computed polymorph = 153 meV/atom; final energy = -13.25 eV per formula unit; magnetization = 4.1 μB/cell
1.0
6.2101 0.0255 0.0770
5.5017 2.8805 0.0770
1.4813 0.3676 4.0361
Zn Cl Mn
2 1 1
Cartesian
6.9207 1.7172 1.9696 Zn
11.3876 2.8256 0.2796 Zn
9.8948 2.4552 3.1426 Cl
3.2983 0.8184 1.0475 Mn

***

Mn2ZnCl (PBE-GGA, relaxed); raw formation energy = 0.10 eV/atom; density of states at the Fermi level = 0.8283 states/eV/atom; ΔE to the lowest computed polymorph = 102 meV/atom; final energy = -21.08 eV per formula unit; magnetization = 7.3 μB/cell
1.0
6.5283 0.0180 -0.1147
5.8405 2.9167 -0.1147
0.0600 0.0142 4.1443
Cl Mn Zn
1 2 1
Cartesian
3.9505 0.9373 4.0687 Cl
8.1850 1.9420 -0.1473 Mn
12.2506 2.9067 3.9166 Mn
6.6862 1.5864 1.9491 Zn

***

MnZn2Cl (PBE-GGA, relaxed); raw formation energy = 0.09 eV/atom; density of states at the Fermi level = 0.4257 states/eV/atom; ΔE to the lowest computed polymorph = 166 meV/atom; final energy = -13.20 eV per formula unit; magnetization = 4.0 μB/cell
1.0
-4.4198 -1.5488 1.6716
0.6229 0.1664 -4.9307
1.0438 -2.9393 0.0336
Zn Cl Mn
2 1 1
Cartesian
-1.8985 -0.6912 -1.6296 Zn
0.0000 0.0000 0.0000 Zn
-1.6880 -2.2441 0.8526 Cl
0.8334 -1.3864 -2.4485 Mn

***

Mn2ZnCl (PBE-GGA, relaxed); raw formation energy = 0.35 eV/atom; density of states at the Fermi level = 0.6006 states/eV/atom; ΔE to the lowest computed polymorph = 361 meV/atom; final energy = -20.04 eV per formula unit; magnetization = 8.2 μB/cell
1.0
5.6945 0.8562 0.0000
2.7002 5.0862 0.0000
-4.1973 -2.9712 2.5912
Mn Zn Cl
2 1 1
Cartesian
1.3501 2.5431 1.2956 Mn
0.0000 0.0000 0.0000 Mn
4.1973 2.9712 0.0000 Zn
2.8472 0.4281 1.2956 Cl

***

MnZnCl2 (PBE-GGA, relaxed); raw formation energy = -0.56 eV/atom; density of states at the Fermi level = 0.1724 states/eV/atom; ΔE to the lowest computed polymorph = 22 meV/atom; final energy = -16.37 eV per formula unit; magnetization = 4.9 μB/cell
1.0
-7.4204 -1.9788 -4.7435
-8.0343 -3.7199 -1.7579
-8.8002 -0.3018 -1.9856
Cl Zn Mn
2 1 1
Cartesian
-0.7791 -0.1927 -0.2726 Cl
-5.2911 -1.3090 -1.8514 Cl
-18.2832 -4.5232 -6.3974 Zn
-12.0290 -2.9760 -4.2090 Mn

***

MnZn2Cl (PBE-GGA, relaxed); raw formation energy = 0.17 eV/atom; density of states at the Fermi level = 0.4606 states/eV/atom; ΔE to the lowest computed polymorph = 249 meV/atom; final energy = -12.87 eV per formula unit; magnetization = 3.6 μB/cell
1.0
-1.7889 -2.3082 0.6196
-0.0797 -1.1889 -4.6591
3.8492 -2.8084 0.6508
Zn Cl Mn
2 1 1
Cartesian
0.0000 0.0000 0.0000 Zn
1.8848 -1.9987 -2.0041 Zn
-0.9343 -1.7486 -2.0198 Cl
1.0302 -2.5583 0.6352 Mn